The following is a GGA-PBE calculation of a geometry-optimized YBeZn2 structure, from Alexandria via LeMat-Bulk.

Computed properties:
DFT total energy = -3.2019 eV/atom
mass density = 5.14 Mg/m³
M_tot = 0.00 μB per formula unit
DOS(E_F) = 1.83 states/eV/cell

Cell: 4.2573 3.5035 4.9996 Å, 82.49 90.00 90.00°
Fractional positions:
Y 0.5000 0.7500 0.7500
Zn 0.0000 0.3154 0.4819
Zn 0.0000 0.1846 0.0181
Be 0.5000 0.2500 0.2500